i) NbNi2HRh after structural relaxation. Source: Alexandria via LeMat-Bulk, functional GGA-PBE.

Unit cell a=3.7229 b=3.7229 c=4.0444 alpha=90.00 beta=90.00 gamma=90.00
Last column: nearest neighbours and their distance in Å.
Fractional coordinates of all 5 atoms:
1 Ni 0.0000 0.5000 0.0000  2 H 1.86
2 H 0.0000 0.0000 0.0000  4 Ni 1.86, 2 Nb 2.02
3 Rh 0.5000 0.5000 0.5000  4 Nb 2.63, 8 Ni 2.75
4 Nb 0.0000 0.0000 0.5000  2 H 2.02
5 Ni 0.5000 0.0000 0.0000  2 H 1.86

- SG = P4/mmm (123)

---

ii) NbNi2HRh after structural relaxation. Source: Alexandria via LeMat-Bulk, functional GGA-PBE.

Unit cell a=3.7937 b=3.7937 c=3.8844 alpha=90.00 beta=90.00 gamma=90.00
Last column: nearest neighbours and their distance in Å.
Fractional coordinates of all 5 atoms:
1 H 0.0000 0.0000 0.0000  4 Ni 1.90, 2 Rh 1.94
2 Ni 0.0000 0.5000 0.0000  2 H 1.90
3 Rh 0.0000 0.0000 0.5000  2 H 1.94
4 Nb 0.5000 0.5000 0.5000  4 Rh 2.68, 8 Ni 2.71
5 Ni 0.5000 0.0000 0.0000  2 H 1.90

- SG = P4/mmm (123)

---

It is i) that is the most stable of them.

---

i) NbNiHRh2 after structural relaxation. Source: Alexandria via LeMat-Bulk, functional GGA-PBE.

Unit cell a=3.9556 b=3.9556 c=3.7697 alpha=90.00 beta=90.00 gamma=90.00
Last column: nearest neighbours and their distance in Å.
Fractional coordinates of all 5 atoms:
1 H 0.0000 0.0000 0.0000  2 Ni 1.88, 4 Rh 1.98
2 Rh 0.0000 0.5000 0.0000  2 H 1.98
3 Rh 0.5000 0.0000 0.0000  2 H 1.98
4 Nb 0.5000 0.5000 0.5000  8 Rh 2.73, 4 Ni 2.80
5 Ni 0.0000 0.0000 0.5000  2 H 1.88

- SG = P4/mmm (123)

---

ii) NbNiHRh2 after structural relaxation. Source: Alexandria via LeMat-Bulk, functional GGA-PBE.

Unit cell a=3.8778 b=3.8778 c=3.9846 alpha=90.00 beta=90.00 gamma=90.00
Last column: nearest neighbours and their distance in Å.
Fractional coordinates of all 5 atoms:
1 H 0.0000 0.0000 0.0000  4 Rh 1.94, 2 Nb 1.99
2 Nb 0.0000 0.0000 0.5000  2 H 1.99
3 Rh 0.5000 0.0000 0.0000  2 H 1.94
4 Rh 0.0000 0.5000 0.0000  2 H 1.94
5 Ni 0.5000 0.5000 0.5000  4 Nb 2.74, 8 Rh 2.78

- SG = P4/mmm (123)

---

It is i) that is the most stable of them.

---

i) Nb2NiHRh after structural relaxation. Source: Alexandria via LeMat-Bulk, functional GGA-PBE.

Unit cell a=4.0579 b=4.0579 c=3.8464 alpha=90.00 beta=90.00 gamma=90.00
Last column: nearest neighbours and their distance in Å.
Fractional coordinates of all 5 atoms:
1 Nb 0.5000 0.0000 0.0000  2 H 2.03
2 Rh 0.5000 0.5000 0.5000  8 Nb 2.80, 4 Ni 2.87
3 Ni 0.0000 0.0000 0.5000  2 H 1.92
4 Nb 0.0000 0.5000 0.0000  2 H 2.03
5 H 0.0000 0.0000 0.0000  2 Ni 1.92, 4 Nb 2.03

- SG = P4/mmm (123)

---

ii) Nb2NiHRh after structural relaxation. Source: Alexandria via LeMat-Bulk, functional GGA-PBE.

Unit cell a=4.0201 b=4.0201 c=3.9509 alpha=90.00 beta=90.00 gamma=90.00
Last column: nearest neighbours and their distance in Å.
Fractional coordinates of all 5 atoms:
1 H 0.0000 0.0000 0.0000  2 Rh 1.98, 4 Nb 2.01
2 Nb 0.0000 0.5000 0.0000  2 H 2.01
3 Ni 0.5000 0.5000 0.5000  8 Nb 2.82, 4 Rh 2.84
4 Rh 0.0000 0.0000 0.5000  2 H 1.98
5 Nb 0.5000 0.0000 0.0000  2 H 2.01

- SG = P4/mmm (123)

---

It is i) that is the most stable of them.

---

i) NbNi2HRu after structural relaxation. Source: Alexandria via LeMat-Bulk, functional GGA-PBE.

Unit cell a=3.6798 b=3.6798 c=4.1087 alpha=90.00 beta=90.00 gamma=90.00
Last column: nearest neighbours and their distance in Å.
Fractional coordinates of all 5 atoms:
1 Ru 0.5000 0.5000 0.5000  4 Nb 2.60, 8 Ni 2.76
2 H 0.0000 0.0000 0.0000  4 Ni 1.84, 2 Nb 2.05
3 Ni 0.5000 0.0000 0.0000  2 H 1.84
4 Nb 0.0000 0.0000 0.5000  2 H 2.05
5 Ni 0.0000 0.5000 0.0000  2 H 1.84

- SG = P4/mmm (123)

---

ii) NbNi2HRu after structural relaxation. Source: Alexandria via LeMat-Bulk, functional GGA-PBE.

Unit cell a=3.7305 b=3.7305 c=3.9703 alpha=90.00 beta=90.00 gamma=90.00
Last column: nearest neighbours and their distance in Å.
Fractional coordinates of all 5 atoms:
1 Ni 0.5000 0.0000 0.0000  2 H 1.87
2 Ni 0.0000 0.5000 0.0000  2 H 1.87
3 Ru 0.0000 0.0000 0.5000  2 H 1.99
4 Nb 0.5000 0.5000 0.5000  4 Ru 2.64, 8 Ni 2.72
5 H 0.0000 0.0000 0.0000  4 Ni 1.87, 2 Ru 1.99

- SG = P4/mmm (123)

---

It is ii) that is the most stable of them.